Compound: PrPuTl6
Source: Alexandria
Functional: GGA-PBE
Structure: relaxed

Cell: 4.8106 4.8106 9.6726 Å, 90.00 90.00 90.00°
Atoms (fractional coordinates):
Pr1 0.0000 0.0000 0.5000
Tl1 0.5000 0.0000 0.7541
Tl2 0.5000 0.5000 0.5000
Pu1 0.0000 0.0000 0.0000
Tl3 0.0000 0.5000 0.2459
Tl4 0.5000 0.0000 0.2459
Tl5 0.0000 0.5000 0.7541
Tl6 0.5000 0.5000 0.0000

Properties
Size of the total moment = 5.6 μB/cell
Symmetry = No. 123
ΔH_f (0 K) = -177 meV per atom
Calculated volume = 224 Å³ per cell
E = -4.341 eV/atom